No. 1
{"formula": "Ba2Ir2O5", "functional": "PBE", "state": "relaxed", "lattice": [[-7.774, 2.953, 2.913], [7.774, -2.953, 2.913], [7.774, 2.953, -2.913]], "species": ["Ba", "Ba", "Ba", "Ba", "Ir", "Ir", "Ir", "Ir", "O", "O", "O", "O", "O", "O", "O", "O", "O", "O"], "frac_coords": [[0.019, 0.127, 0.146], [0.019, 0.373, 0.393], [0.981, 0.627, 0.607], [0.981, 0.873, 0.854], [0.447, 0.744, 0.203], [0.507, 0.007, 0.500], [0.507, 0.507, 0.000], [0.541, 0.244, 0.797], [0.008, 0.235, 0.740], [0.008, 0.768, 0.273], [0.067, 0.021, 0.546], [0.458, 0.642, 0.068], [0.458, 0.891, 0.317], [0.475, 0.521, 0.454], [0.495, 0.268, 0.260], [0.495, 0.735, 0.727], [0.574, 0.142, 0.683], [0.574, 0.391, 0.932]], "magmom_total_mub_per_cell": 0.06, "spacegroup": "Ima2 (46)", "density_g_cm3": 9.178, "energy_ev_per_atom": -6.485}

No. 2
{"formula": "Ba4IrO3", "functional": "PBE", "state": "relaxed", "lattice": [[5.674, 0.000, 0.000], [0.000, 3.911, 0.000], [-0.003, 0.000, 8.492]], "species": ["Ba", "Ba", "Ba", "Ba", "Ir", "O", "O", "O"], "frac_coords": [[0.000, 0.000, 0.000], [0.002, 0.000, 0.564], [0.502, 0.500, 0.781], [0.513, 0.500, 0.280], [0.014, 0.500, 0.282], [0.007, 0.500, 0.783], [0.516, 0.000, 0.020], [0.518, 0.000, 0.554]], "magmom_total_mub_per_cell": 0.01, "spacegroup": "Pm (6)", "density_g_cm3": 6.957, "energy_ev_per_atom": -5.513}

No. 3
{"formula": "BaIr2O4", "functional": "PBE", "state": "relaxed", "lattice": [[0.000, 4.655, 4.655], [4.655, 0.000, 4.655], [4.655, 4.655, 0.000]], "species": ["Ba", "Ba", "Ir", "Ir", "Ir", "Ir", "O", "O", "O", "O", "O", "O", "O", "O"], "frac_coords": [[0.125, 0.125, 0.125], [0.875, 0.875, 0.875], [0.000, 0.500, 0.500], [0.500, 0.000, 0.500], [0.500, 0.500, 0.000], [0.500, 0.500, 0.500], [0.279, 0.279, 0.279], [0.279, 0.279, 0.664], [0.279, 0.664, 0.279], [0.336, 0.721, 0.721], [0.664, 0.279, 0.279], [0.721, 0.336, 0.721], [0.721, 0.721, 0.336], [0.721, 0.721, 0.721]], "magmom_total_mub_per_cell": 0.00, "spacegroup": "Fd-3m (227)", "density_g_cm3": 9.643, "energy_ev_per_atom": -6.736}

No. 4
{"formula": "Ba7Ir6O19", "functional": "PBE", "state": "relaxed", "lattice": [[7.447, -2.879, 0.000], [7.447, 2.879, 0.000], [-1.829, 0.000, 10.868]], "species": ["Ba", "Ba", "Ba", "Ba", "Ba", "Ba", "Ba", "Ir", "Ir", "Ir", "Ir", "Ir", "Ir", "O", "O", "O", "O", "O", "O", "O", "O", "O", "O", "O", "O", "O", "O", "O", "O", "O", "O", "O"], "frac_coords": [[0.000, 0.000, 0.000], [0.073, 0.073, 0.662], [0.302, 0.302, 0.908], [0.356, 0.356, 0.554], [0.644, 0.644, 0.446], [0.698, 0.698, 0.092], [0.927, 0.927, 0.338], [0.156, 0.156, 0.283], [0.317, 0.317, 0.235], [0.477, 0.477, 0.177], [0.523, 0.523, 0.823], [0.683, 0.683, 0.765], [0.844, 0.844, 0.717], [0.026, 0.491, 0.339], [0.104, 0.104, 0.438], [0.140, 0.608, 0.130], [0.179, 0.678, 0.793], [0.201, 0.201, 0.112], [0.322, 0.821, 0.207], [0.392, 0.860, 0.870], [0.444, 0.444, 0.351], [0.491, 0.026, 0.339], [0.500, 0.500, 0.000], [0.509, 0.974, 0.661], [0.556, 0.556, 0.649], [0.608, 0.140, 0.130], [0.678, 0.179, 0.793], [0.799, 0.799, 0.888], [0.821, 0.322, 0.207], [0.860, 0.392, 0.870], [0.896, 0.896, 0.562], [0.974, 0.509, 0.661]], "magmom_total_mub_per_cell": 1.99, "spacegroup": "C2/m (12)", "density_g_cm3": 8.617, "energy_ev_per_atom": -6.674}

No. 5
{"formula": "Ba2IrO4", "functional": "PBE", "state": "relaxed", "lattice": [[-2.014, 2.014, 6.671], [2.014, -2.014, 6.671], [2.014, 2.014, -6.671]], "species": ["Ba", "Ba", "Ir", "O", "O", "O", "O"], "frac_coords": [[0.146, 0.146, 0.000], [0.854, 0.854, 0.000], [0.500, 0.500, 0.000], [0.000, 0.500, 0.500], [0.344, 0.344, 0.000], [0.500, 0.000, 0.500], [0.656, 0.656, 0.000]], "magmom_total_mub_per_cell": 0.03, "spacegroup": "I4/mmm (139)", "density_g_cm3": 8.148, "energy_ev_per_atom": -6.493}

No. 6
{"formula": "BaIr2O4", "functional": "PBE", "state": "relaxed", "lattice": [[5.422, 0.000, 0.000], [-2.711, 4.695, 0.000], [0.000, 0.000, 8.905]], "species": ["Ba", "Ba", "Ir", "Ir", "Ir", "Ir", "O", "O", "O", "O", "O", "O", "O", "O"], "frac_coords": [[0.000, 0.000, 0.250], [0.000, 0.000, 0.750], [0.333, 0.667, 0.017], [0.333, 0.667, 0.483], [0.667, 0.333, 0.517], [0.667, 0.333, 0.983], [0.000, 0.286, 0.500], [0.000, 0.714, 0.000], [0.286, 0.000, 0.500], [0.286, 0.286, 0.000], [0.333, 0.667, 0.250], [0.667, 0.333, 0.750], [0.714, 0.000, 0.000], [0.714, 0.714, 0.500]], "magmom_total_mub_per_cell": 2.35, "spacegroup": "P6_322 (182)", "density_g_cm3": 8.581, "energy_ev_per_atom": -6.338}

No. 7
{"formula": "Ba2ReIrO6", "functional": "PBE", "state": "relaxed", "lattice": [[-2.864, 2.864, 4.043], [2.864, -2.864, 4.043], [2.864, 2.864, -4.043]], "species": ["Ba", "Ba", "Re", "Ir", "O", "O", "O", "O", "O", "O"], "frac_coords": [[0.250, 0.750, 0.500], [0.750, 0.250, 0.500], [0.000, 0.000, 0.000], [0.500, 0.500, 0.000], [0.221, 0.271, 0.492], [0.246, 0.246, 0.000], [0.271, 0.779, 0.050], [0.729, 0.221, 0.950], [0.754, 0.754, 0.000], [0.779, 0.729, 0.508]], "magmom_total_mub_per_cell": 2.00, "spacegroup": "I4/m (87)", "density_g_cm3": 9.374, "energy_ev_per_atom": -7.230}

No. 8
{"formula": "Ba2ScIrO6", "functional": "PBE", "state": "relaxed", "lattice": [[0.000, 4.079, 4.079], [4.079, 0.000, 4.079], [4.079, 4.079, 0.000]], "species": ["Ba", "Ba", "Sc", "Ir", "O", "O", "O", "O", "O", "O"], "frac_coords": [[0.250, 0.250, 0.250], [0.750, 0.750, 0.750], [0.000, 0.000, 0.000], [0.500, 0.500, 0.500], [0.257, 0.257, 0.743], [0.257, 0.743, 0.257], [0.257, 0.743, 0.743], [0.743, 0.257, 0.257], [0.743, 0.257, 0.743], [0.743, 0.743, 0.257]], "magmom_total_mub_per_cell": 2.00, "spacegroup": "Fm-3m (225)", "density_g_cm3": 7.435, "energy_ev_per_atom": -7.229}